(1)
Below is a geometry-optimized Sm3TlSe2 structure, with properties calculated at the PBE level.

Values from the calculation:
Its theoretical density is 8.111 Mg/m³. As for the raw total energy: -5.26 eV/atom. For the energy relative to the elements, uncorrected, the calculation gives -1.3403 eV per atom.

a = 7.556 Å, b = 7.556 Å, c = 7.556 Å
α = 148.09°, β = 132.60°, γ = 58.28°
Element x y z (fractional)
Sm1 0.000 0.000 0.000
Sm2 0.322 0.322 0.000
Sm3 0.678 0.678 0.000
Tl1 0.500 0.000 0.500
Se1 0.164 0.664 0.500
Se2 0.836 0.336 0.500

---

(2)
Below is a geometry-optimized AgRh2S structure, with properties calculated at the PBE level.

Values from the calculation:
Its theoretical density is 8.768 Mg/m³. As for the raw total energy: -5.34 eV/atom. For the energy relative to the elements, uncorrected, the calculation gives 0.0813 eV per atom.

a = 5.595 Å, b = 5.595 Å, c = 5.595 Å
α = 104.22°, β = 104.22°, γ = 120.58°
Element x y z (fractional)
Ag1 0.000 0.000 0.000
Ag2 0.750 0.250 0.500
Rh1 0.204 0.625 0.079
Rh2 0.375 0.454 0.579
Rh3 0.546 0.125 0.921
Rh4 0.875 0.796 0.421
S1 0.250 0.750 0.500
S2 0.500 0.500 0.000

---

(3)
Below is a geometry-optimized Pm3Pb4 structure, with properties calculated at the PBE level.

Values from the calculation:
Its theoretical density is 9.589 Mg/m³. For the calculated formation energy, the calculation gives -0.51 eV per atom. As for the raw total energy: -4.66 eV/atom. The calculation puts the excess energy over the best structure of this formula in the dataset at 0 meV/atom.

a = 6.357 Å, b = 6.357 Å, c = 16.201 Å
α = 90.00°, β = 90.00°, γ = 138.05°
Element x y z (fractional)
Pm1 0.068 0.932 0.750
Pm2 0.337 0.663 0.597
Pm3 0.337 0.663 0.903
Pm4 0.663 0.337 0.097
Pm5 0.663 0.337 0.403
Pm6 0.932 0.068 0.250
Pb1 0.000 0.000 0.000
Pb2 0.000 0.000 0.500
Pb3 0.196 0.804 0.250
Pb4 0.372 0.628 0.109
Pb5 0.372 0.628 0.391
Pb6 0.628 0.372 0.609
Pb7 0.628 0.372 0.891
Pb8 0.804 0.196 0.750

---

(4)
Below is a geometry-optimized Tl3HgPb6 structure, with properties calculated at the PBE level.

Values from the calculation:
Its theoretical density is 11.139 Mg/m³. For the calculated formation energy, the calculation gives 0.02 eV per atom. As for the raw total energy: -2.94 eV/atom.

a = 9.455 Å, b = 5.646 Å, c = 12.083 Å
α = 90.00°, β = 108.04°, γ = 90.00°
Element x y z (fractional)
Tl1 0.099 0.250 0.243
Tl2 0.295 0.750 0.362
Tl3 0.301 0.250 0.040
Tl4 0.699 0.750 0.960
Tl5 0.705 0.250 0.638
Tl6 0.901 0.750 0.757
Hg1 0.095 0.750 0.557
Hg2 0.905 0.250 0.443
Pb1 0.094 0.750 0.062
Pb2 0.102 0.250 0.731
Pb3 0.292 0.750 0.857
Pb4 0.296 0.250 0.540
Pb5 0.491 0.750 0.657
Pb6 0.497 0.250 0.835
Pb7 0.503 0.750 0.165
Pb8 0.509 0.250 0.343
Pb9 0.704 0.750 0.460
Pb10 0.708 0.250 0.143
Pb11 0.898 0.750 0.269
Pb12 0.906 0.250 0.938

---

(5)
Below is a geometry-optimized ZrTcI structure, with properties calculated at the PBE level.

Values from the calculation:
Its theoretical density is 6.104 Mg/m³. As for the raw total energy: -6.86 eV/atom. For the energy relative to the elements, uncorrected, the calculation gives -0.0426 eV per atom. The calculation puts the excess energy over the best structure of this formula in the dataset at 375 meV/atom.

a = 4.219 Å, b = 4.380 Å, c = 9.488 Å
α = 89.76°, β = 79.28°, γ = 86.79°
Element x y z (fractional)
Zr1 0.000 0.000 0.000
Zr2 0.492 0.478 0.997
Tc1 0.119 0.449 0.803
Tc2 0.684 0.872 0.805
I1 0.260 0.991 0.597
I2 0.896 0.492 0.248

---

(6)
Below is a geometry-optimized MgTaPb2O8 structure, with properties calculated at the PBE level.

Values from the calculation:
Its theoretical density is 7.747 Mg/m³. As for the raw total energy: -6.65 eV/atom. For the energy relative to the elements, uncorrected, the calculation gives -1.6012 eV per atom.

a = 4.930 Å, b = 4.930 Å, c = 6.593 Å
α = 90.00°, β = 90.00°, γ = 90.04°
Element x y z (fractional)
Mg1 0.000 0.000 0.000
Ta1 0.000 0.000 0.500
Pb1 0.500 0.500 0.246
Pb2 0.500 0.500 0.754
O1 0.185 0.185 0.270
O2 0.185 0.185 0.730
O3 0.291 0.709 0.500
O4 0.294 0.706 0.000
O5 0.706 0.294 0.000
O6 0.709 0.291 0.500
O7 0.815 0.815 0.270
O8 0.815 0.815 0.730